No. 1
A relaxed Mn2IrAu crystal. Source: Alexandria, functional PBE-GGA.

Properties
energy above the lowest structure with this stoichiometry = 203 meV per atom
D(E_F) = 3.86 states/eV/cell
M_tot = 7.81 μB/f.u.
formation energy from the elements = 0.16 eV per atom
VASP energy = -7.46 eV/atom

a b c (Å): 4.611 4.611 4.927
angles (deg): 78.55 78.55 37.01
Site moments in Bohr magnetons follow the coordinates.
Fractional coordinates of all 4 atoms:
Au (0.750, 0.750, 0.750)  0.10
Mn (0.505, 0.505, 0.487)  3.55
Mn (0.995, 0.995, 0.013)  3.55
Ir (0.250, 0.250, 0.250)  0.29

---

No. 2
A relaxed ScBeSe2Br crystal. Source: Alexandria, functional PBE-GGA.

Properties
formation energy (no corrections) = -0.4205 eV per atom
energy above the lowest structure with this stoichiometry = 0 meV per atom
D(E_F) = 0.96 states/eV/cell
M_tot = 0.00 μB/f.u.
VASP energy = -4.16 eV/atom

a b c (Å): 4.763 4.763 4.546
angles (deg): 90.00 90.00 90.00
Fractional coordinates of all 5 atoms:
Se (0.000, 0.500, 0.000)
Se (0.500, 0.000, 0.000)
Br (0.000, 0.000, 0.500)
Be (0.000, 0.000, 0.000)
Sc (0.500, 0.500, 0.500)

---

No. 3
A relaxed Na3OsSe crystal. Source: Alexandria, functional PBE-GGA.

Properties
formation energy (no corrections) = 0.6773 eV per atom
energy above the lowest structure with this stoichiometry = 0 meV per atom
D(E_F) = 0.07 states/eV/cell
M_tot = 3.00 μB/f.u.
VASP energy = -3.06 eV/atom

a b c (Å): 5.447 5.447 5.447
angles (deg): 90.00 90.00 90.00
Site moments in Bohr magnetons follow the coordinates.
Fractional coordinates of all 5 atoms:
Se (0.000, 0.000, 0.000)  0.02
Na (0.000, 0.500, 0.000)  0.00
Na (0.500, 0.000, 0.000)  0.00
Na (0.000, 0.000, 0.500)  0.00
Os (0.500, 0.500, 0.500)  2.58

---

No. 4
A relaxed Ce7TlIn3 crystal. Source: Alexandria, functional PBE-GGA.

Properties
D(E_F) = 36.91 states/eV/cell
M_tot = 6.65 μB/f.u.
formation energy from the elements = -0.07 eV per atom
VASP energy = -4.81 eV/atom

a b c (Å): 5.820 8.283 8.283
angles (deg): 86.08 114.00 114.00
Site moments in Bohr magnetons follow the coordinates.
Fractional coordinates of all 11 atoms:
Ce (0.715, 0.937, 0.426)  0.75
Ce (0.715, 0.426, 0.937)  0.75
Ce (0.204, 0.189, 0.189)  0.82
Ce (0.796, 0.811, 0.811)  0.82
Ce (0.000, 0.500, 0.500)  0.86
Ce (0.285, 0.574, 0.063)  0.75
Ce (0.285, 0.063, 0.574)  0.75
Tl (0.500, 0.500, 0.500)  0.00
In (0.500, 0.000, 0.000)  0.00
In (0.000, 0.227, 0.773)  0.00
In (0.000, 0.773, 0.227)  0.00

---

No. 5
A relaxed IrSeO2F crystal. Source: Alexandria, functional PBE-GGA.

Properties
formation energy (no corrections) = 0.6300 eV per atom
D(E_F) = 5.42 states/eV/cell
M_tot = 2.37 μB/f.u.
VASP energy = -4.20 eV/atom

a b c (Å): 3.943 3.943 4.322
angles (deg): 90.00 90.00 90.00
Site moments in Bohr magnetons follow the coordinates.
Fractional coordinates of all 5 atoms:
Ir (0.500, 0.500, 0.500)  2.07
O (0.500, 0.000, 0.000)  0.09
O (0.000, 0.500, 0.000)  0.09
F (0.000, 0.000, 0.500)  0.03
Se (0.000, 0.000, 0.000)  -0.02

---

No. 6
A relaxed Li7Ca2Cd crystal. Source: Alexandria, functional PBE-GGA.

Properties
energy above the lowest structure with this stoichiometry = 108 meV per atom
D(E_F) = 7.92 states/eV/cell
M_tot = 0.00 μB/f.u.
formation energy from the elements = 0.10 eV per atom
VASP energy = -1.73 eV/atom

a b c (Å): 7.181 7.181 7.181
angles (deg): 60.00 60.00 60.00
Fractional coordinates of all 10 atoms:
Li (0.746, 0.254, 0.746)
Li (0.254, 0.746, 0.254)
Li (0.254, 0.746, 0.746)
Li (0.254, 0.254, 0.746)
Li (0.746, 0.254, 0.254)
Li (0.746, 0.746, 0.254)
Li (0.500, 0.500, 0.500)
Ca (0.250, 0.250, 0.250)
Ca (0.750, 0.750, 0.750)
Cd (0.000, 0.000, 0.000)